[1]
Sr2LiPt GGA-PBE relaxed; energy of formation from the pure elements = -372 meV/atom; SG = C2/m; V = 295.9 Å³/cell; total moment = 0.000 μB per atom; electronic total energy = -25.62 eV for the cell shown
1.0
7.4489 0.0000 0.0000
0.0000 4.3314 0.0000
-2.5444 0.0000 9.1704
Sr Li Pt
4 2 2
direct
0.2279 0.0000 0.1823
0.2721 0.5000 0.8177
0.7279 0.5000 0.1823
0.7721 0.0000 0.8177
0.0000 0.0000 0.5000
0.5000 0.5000 0.5000
0.0000 0.5000 0.0000
0.5000 0.0000 0.0000

---

[2]
Fe2Pt2N GGA-PBE relaxed; SG = P4/mbm; V = 129.0 Å³/cell; total moment = 0.951 μB per atom; raw formation energy = 15.0 kJ/mol of atoms; electronic total energy = -73.11 eV for the cell shown
1.0
5.1443 0.0000 0.0000
0.0000 5.1443 0.0000
0.0000 0.0000 4.8738
Fe Pt N
4 4 2
direct
0.1858 0.3142 0.0000
0.3142 0.8142 0.0000
0.6858 0.1858 0.0000
0.8142 0.6858 0.0000
0.1793 0.6793 0.5000
0.3207 0.1793 0.5000
0.6793 0.8207 0.5000
0.8207 0.3207 0.5000
0.0000 0.0000 0.0000
0.5000 0.5000 0.0000

---

[3]
Tb2BiSe GGA-PBE relaxed; SG = R3m; V = 340.2 Å³/cell; total moment = 0.000 μB per atom; raw formation energy = -120.8 kJ/mol of atoms; electronic total energy = -64.90 eV for the cell shown
1.0
4.2251 0.0000 0.0000
-2.1125 3.6590 0.0000
0.0000 0.0000 22.0064
Tb Bi Se
6 3 3
direct
0.0000 0.0000 0.0000
0.0000 0.0000 0.1833
0.3333 0.6667 0.6667
0.3333 0.6667 0.8500
0.6667 0.3333 0.3333
0.6667 0.3333 0.5167
0.0000 0.0000 0.4248
0.3333 0.6667 0.0915
0.6667 0.3333 0.7582
0.0000 0.0000 0.5948
0.3333 0.6667 0.2615
0.6667 0.3333 0.9281

---

[4]
Tc6Os7 GGA-PBE relaxed; energy of formation from the pure elements = 267 meV/atom; SG = R-3m; V = 196.9 Å³/cell; total moment = 0.000 μB per atom; electronic total energy = -137.33 eV for the cell shown
1.0
2.5347 1.4634 8.8454
-2.5347 1.4634 8.8454
0.0000 -2.9268 8.8454
Tc Os
6 7
direct
0.0464 0.0464 0.0464
0.1483 0.1483 0.1483
0.3378 0.3378 0.3378
0.6622 0.6622 0.6622
0.8517 0.8517 0.8517
0.9536 0.9536 0.9536
0.0811 0.5898 0.5898
0.4102 0.4102 0.9189
0.4102 0.9189 0.4102
0.5000 0.5000 0.5000
0.5898 0.0811 0.5898
0.5898 0.5898 0.0811
0.9189 0.4102 0.4102

---

[5]
AcNdAg4 GGA-PBE relaxed; energy of formation from the pure elements = -283 meV/atom; SG = C2/m; V = 308.1 Å³/cell; total moment = 0.000 μB per atom; electronic total energy = -43.95 eV for the cell shown
1.0
4.8544 0.0000 0.0000
0.0000 8.4103 0.0000
-0.0100 0.0000 7.5464
Ac Nd Ag
2 2 8
direct
0.0000 0.0000 0.0000
0.5000 0.5000 0.0000
0.0000 0.0000 0.5000
0.5000 0.5000 0.5000
0.0000 0.3335 0.2755
0.0000 0.3335 0.7245
0.0000 0.6665 0.2755
0.0000 0.6665 0.7245
0.5000 0.1665 0.2755
0.5000 0.1665 0.7245
0.5000 0.8335 0.2755
0.5000 0.8335 0.7245

---

[6]
MgCoP2 GGA-PBE relaxed; energy of formation from the pure elements = -132 meV/atom; SG = Pmm2; V = 64.5 Å³/cell; total moment = 0.083 μB per atom; electronic total energy = -20.05 eV for the cell shown
1.0
2.7118 0.0000 0.0000
0.0000 3.5814 0.0000
0.0000 0.0000 6.6387
Mg Co P
1 1 2
direct
0.0000 0.0000 0.0000
0.5000 0.5000 0.5246
0.0000 0.0000 0.6176
0.5000 0.5000 0.1972

---

[7]
ReSiIr2 GGA-PBE relaxed; SG = I-42d; V = 328.3 Å³/cell; total moment = 0.000 μB per atom; raw formation energy = 43.8 kJ/mol of atoms; electronic total energy = -135.11 eV for the cell shown
1.0
5.3374 0.0000 0.0000
0.0000 5.3374 0.0000
0.0000 0.0000 11.5262
Re Si Ir
4 4 8
direct
0.0000 0.0000 0.0000
0.0000 0.5000 0.2500
0.5000 0.0000 0.7500
0.5000 0.5000 0.5000
0.0000 0.0000 0.5000
0.0000 0.5000 0.7500
0.5000 0.0000 0.2500
0.5000 0.5000 0.0000
0.2371 0.2500 0.6250
0.2500 0.7371 0.8750
0.2500 0.7629 0.3750
0.2629 0.2500 0.1250
0.7371 0.7500 0.1250
0.7500 0.2371 0.3750
0.7500 0.2629 0.8750
0.7629 0.7500 0.6250

---

[8]
TbEuGdMg GGA-PBE relaxed; energy of formation from the pure elements = 64 meV/atom; SG = F-43m; V = 499.4 Å³/cell; total moment = 0.016 μB per atom; electronic total energy = -121.30 eV for the cell shown
1.0
7.9336 0.0000 0.0000
0.0000 7.9336 0.0000
0.0000 0.0000 7.9336
Tb Eu Gd Mg
4 4 4 4
direct
0.0000 0.0000 0.0000
0.0000 0.5000 0.5000
0.5000 0.0000 0.5000
0.5000 0.5000 0.0000
0.2500 0.2500 0.7500
0.2500 0.7500 0.2500
0.7500 0.2500 0.2500
0.7500 0.7500 0.7500
0.0000 0.0000 0.5000
0.0000 0.5000 0.0000
0.5000 0.0000 0.0000
0.5000 0.5000 0.5000
0.2500 0.2500 0.2500
0.2500 0.7500 0.7500
0.7500 0.2500 0.7500
0.7500 0.7500 0.2500

---

[9]
Ac2NiTe GGA-PBE relaxed; SG = P4/mmm; V = 119.9 Å³/cell; total moment = 0.000 μB per atom; raw formation energy = -62.6 kJ/mol of atoms; electronic total energy = -19.74 eV for the cell shown
1.0
3.8741 0.0000 0.0000
0.0000 3.8741 0.0000
0.0000 0.0000 7.9889
Ac Ni Te
2 1 1
direct
0.0000 0.0000 0.2237
0.0000 0.0000 0.7763
0.5000 0.5000 0.0000
0.5000 0.5000 0.5000

---

[10]
InHgBr2 GGA-PBE relaxed; SG = P1; V = 303.0 Å³/cell; total moment = 0.000 μB per atom; raw formation energy = -53.6 kJ/mol of atoms; electronic total energy = -17.22 eV for the cell shown
1.0
5.3691 0.0000 0.0000
2.6564 6.5455 0.0000
0.1332 2.5493 8.6224
In Hg Br
2 2 4
direct
0.0000 0.0000 0.0000
0.2058 0.3119 0.3046
0.6358 0.4118 0.5227
0.6780 0.9739 0.7902
0.1391 0.3251 0.9247
0.3683 0.9107 0.6066
0.4531 0.6713 0.0887
0.8256 0.0148 0.2715

---

[11]
Pm5Tl2Hg2 GGA-PBE relaxed; energy of formation from the pure elements = -341 meV/atom; SG = Cmce; V = 552.9 Å³/cell; total moment = 0.000 μB per atom; electronic total energy = -64.32 eV for the cell shown
1.0
8.3988 -4.3879 0.0000
8.3988 4.3879 0.0000
0.0000 0.0000 7.5019
Pm Tl Hg
10 4 4
direct
0.0000 0.0000 0.0000
0.0457 0.6742 0.6583
0.1742 0.5457 0.1583
0.3258 0.9543 0.6583
0.4543 0.8258 0.1583
0.5000 0.5000 0.5000
0.5457 0.1742 0.8417
0.6742 0.0457 0.3417
0.8258 0.4543 0.8417
0.9543 0.3258 0.3417
0.2094 0.2094 0.0000
0.2906 0.2906 0.5000
0.7094 0.7094 0.5000
0.7906 0.7906 0.0000
0.1405 0.8595 0.3807
0.3595 0.6405 0.8807
0.6405 0.3595 0.1193
0.8595 0.1405 0.6193

---

[12]
Na2Tl5Pb5 GGA-PBE relaxed; energy of formation from the pure elements = -62 meV/atom; SG = C2/m; V = 360.9 Å³/cell; total moment = 0.000 μB per atom; electronic total energy = -33.75 eV for the cell shown
1.0
7.0420 -2.5488 0.0000
7.0420 2.5488 0.0000
-4.7296 0.0000 10.0539
Na Tl Pb
2 5 5
direct
0.0842 0.0842 0.2481
0.9158 0.9158 0.7519
0.0000 0.0000 0.5000
0.1619 0.1619 0.9940
0.2512 0.2512 0.7506
0.7488 0.7488 0.2494
0.8381 0.8381 0.0060
0.3299 0.3299 0.5000
0.4162 0.4162 0.2529
0.5000 0.5000 0.0000
0.5838 0.5838 0.7471
0.6701 0.6701 0.5000